Entry 1:
Density functional theory data (PBE-GGA) for a relaxed La4AsIrSe2 crystal.

Calculated values
Density   7.1 g/cm³
Symmetry   P2/m
Density of states at the Fermi level   6.5 states/eV/cell
Energy   -0.2420 Ha/atom
Formation energy from raw total energies   -1563 meV/atom

abc: 4.2731 7.4953 7.5541
angles: 108.11 90.00 90.00
Fractional coordinates of all 8 atoms:
La1 0.5000 0.2384 0.2333
La2 0.5000 0.7616 0.7667
La3 0.0000 0.2412 0.7692
La4 0.0000 0.7588 0.2308
As1 0.5000 0.5000 0.0000
Ir1 0.0000 0.0000 0.0000
Se1 0.5000 0.0000 0.5000
Se2 0.0000 0.5000 0.5000

Entry 2:
Density functional theory data (PBE-GGA) for a relaxed Pr4InSn crystal.

Calculated values
Energy of formation from the pure elements   -0.18 eV per atom
Density   6.7 g/cm³
Polymorph energy (0 for the lowest one)   211.1 meV/atom
Symmetry   Pmmm
Density of states at the Fermi level   8.6 states/eV/cell
Energy   -0.1650 Ha/atom

abc: 3.5665 9.4738 5.8624
angles: 90.02 90.00 90.00
Fractional coordinates of all 6 atoms:
Pr1 0.5000 0.7028 0.0000
Pr2 0.5000 0.2972 0.0000
Pr3 0.0000 0.1978 0.5000
Pr4 0.0000 0.8022 0.5000
In1 0.5000 0.5000 0.5000
Sn1 0.0000 0.0000 0.0000

Entry 3:
Density functional theory data (PBE-GGA) for a relaxed Ca3Al7Pd4 crystal.

Calculated values
Energy of formation from the pure elements   -0.68 eV per atom
Density   4.6 g/cm³
Symmetry   C2/m
Density of states at the Fermi level   5.9 states/eV/cell
Energy   -0.1639 Ha/atom

abc: 4.3369 8.0865 8.5158
angles: 69.54 75.25 74.45
Fractional coordinates of all 14 atoms:
Ca1 0.3047 0.1931 0.1974
Ca2 0.6953 0.8069 0.8026
Ca3 0.0000 0.5000 0.5000
Al1 0.3171 0.8433 0.5225
Al2 0.4968 0.2082 0.7981
Al3 0.8505 0.3787 0.9203
Al4 0.6829 0.1567 0.4775
Al5 0.1495 0.6213 0.0797
Al6 0.0000 0.0000 0.0000
Al7 0.5032 0.7918 0.2019
Pd1 0.6626 0.4635 0.2114
Pd2 0.3374 0.5365 0.7886
Pd3 0.8854 0.8952 0.3339
Pd4 0.1146 0.1048 0.6661

Entry 4:
Density functional theory data (PBE-GGA) for a relaxed ZrCSN2 crystal.

Calculated values
Density   2.9 g/cm³
Polymorph energy (0 for the lowest one)   679.4 meV/atom
Symmetry   P4/mmm
Density of states at the Fermi level   3.6 states/eV/cell
Energy   -0.2165 Ha/atom
Formation energy from raw total energies   1819 meV/atom

abc: 4.2142 4.2142 5.2111
angles: 90.00 90.00 90.00
Each line ends with the local moment (μB).
Fractional coordinates of all 5 atoms:
S1 0.0000 0.0000 0.5000  0.34
C1 0.5000 0.5000 0.5000  -0.62
Zr1 0.0000 0.0000 0.0000  -0.05
N1 0.0000 0.5000 0.0000  0.90
N2 0.5000 0.0000 0.0000  0.90

Entry 5:
Density functional theory data (PBE-GGA) for a relaxed AlP2H18C6Cl3 crystal.

Calculated values
Density   1.2 g/cm³
Symmetry   Pnma
Density of states at the Fermi level   0.0 states/eV/cell
Energy   -0.1818 Ha/atom

abc: 10.4055 11.1402 14.1398
angles: 90.00 90.00 90.00
Fractional coordinates of all 120 atoms:
Al1 0.2208 0.2500 0.9824
Al2 0.7208 0.2500 0.5176
Al3 0.7792 0.7500 0.0176
Al4 0.2792 0.7500 0.4824
P1 0.0304 0.2500 0.8750
P2 0.5304 0.2500 0.6250
P3 0.9696 0.7500 0.1250
P4 0.4696 0.7500 0.3750
P5 0.4033 0.2500 0.0961
P6 0.9033 0.2500 0.4039
P7 0.5967 0.7500 0.9039
P8 0.0967 0.7500 0.5961
H1 0.8464 0.3770 0.8369
H2 0.3464 0.1230 0.6631
H3 0.1536 0.8770 0.1631
H4 0.6536 0.6230 0.3369
H5 0.1536 0.6230 0.1631
H6 0.6536 0.8770 0.3369
H7 0.8464 0.1230 0.8369
H8 0.3464 0.3770 0.6631
H9 0.8848 0.3807 0.9606
H10 0.3848 0.1193 0.5394
H11 0.1152 0.8807 0.0394
H12 0.6152 0.6193 0.4606
H13 0.1152 0.6193 0.0394
H14 0.6152 0.8807 0.4606
H15 0.8848 0.1193 0.9606
H16 0.3848 0.3807 0.5394
H17 0.9804 0.4625 0.8787
H18 0.4804 0.0375 0.6213
H19 0.0196 0.9625 0.1213
H20 0.5196 0.5375 0.3787
H21 0.0196 0.5375 0.1213
H22 0.5196 0.9625 0.3787
H23 0.9804 0.0375 0.8787
H24 0.4804 0.4625 0.6213
H25 0.1289 0.1699 0.7338
H26 0.6289 0.3301 0.7662
H27 0.8711 0.6699 0.2662
H28 0.3711 0.8301 0.2338
H29 0.8711 0.8301 0.2662
H30 0.3711 0.6699 0.2338
H31 0.1289 0.3301 0.7338
H32 0.6289 0.1699 0.7662
H33 0.9845 0.2500 0.7052
H34 0.4845 0.2500 0.7948
H35 0.0155 0.7500 0.2948
H36 0.5155 0.7500 0.2052
H37 0.3118 0.1142 0.2117
H38 0.8118 0.3858 0.2883
H39 0.6882 0.6142 0.7883
H40 0.1882 0.8858 0.7117
H41 0.6882 0.8858 0.7883
H42 0.1882 0.6142 0.7117
H43 0.3118 0.3858 0.2117
H44 0.8118 0.1142 0.2883
H45 0.4183 0.0388 0.1324
H46 0.9183 0.4612 0.3676
H47 0.5817 0.5388 0.8676
H48 0.0817 0.9612 0.6324
H49 0.5817 0.9612 0.8676
H50 0.0817 0.5388 0.6324
H51 0.4183 0.4612 0.1324
H52 0.9183 0.0388 0.3676
H53 0.4822 0.1276 0.2272
H54 0.9822 0.3724 0.2728
H55 0.5178 0.6276 0.7728
H56 0.0178 0.8724 0.7272
H57 0.5178 0.8724 0.7728
H58 0.0178 0.6276 0.7272
H59 0.4822 0.3724 0.2272
H60 0.9822 0.1276 0.2728
H61 0.5750 0.1696 0.9995
H62 0.0750 0.3304 0.5005
H63 0.4250 0.6696 0.0005
H64 0.9250 0.8304 0.4995
H65 0.4250 0.8304 0.0005
H66 0.9250 0.6696 0.4995
H67 0.5750 0.3304 0.9995
H68 0.0750 0.1696 0.5005
H69 0.6382 0.2500 0.0987
H70 0.1382 0.2500 0.4013
H71 0.3618 0.7500 0.9013
H72 0.8618 0.7500 0.5987
C1 0.9249 0.3797 0.8888
C2 0.4249 0.1203 0.6112
C3 0.0751 0.8797 0.1112
C4 0.5751 0.6203 0.3888
C5 0.0751 0.6203 0.1112
C6 0.5751 0.8797 0.3888
C7 0.9249 0.1203 0.8888
C8 0.4249 0.3797 0.6112
C9 0.0713 0.2500 0.7494
C10 0.5713 0.2500 0.7506
C11 0.9287 0.7500 0.2506
C12 0.4287 0.7500 0.2494
C13 0.4045 0.1202 0.1749
C14 0.9045 0.3798 0.3251
C15 0.5955 0.6202 0.8251
C16 0.0955 0.8798 0.6749
C17 0.5955 0.8798 0.8251
C18 0.0955 0.6202 0.6749
C19 0.4045 0.3798 0.1749
C20 0.9045 0.1202 0.3251
C21 0.5637 0.2500 0.0436
C22 0.0637 0.2500 0.4564
C23 0.4363 0.7500 0.9564
C24 0.9363 0.7500 0.5436
Cl1 0.2883 0.0797 0.9185
Cl2 0.7883 0.4203 0.5815
Cl3 0.7117 0.5797 0.0815
Cl4 0.2117 0.9203 0.4185
Cl5 0.7117 0.9203 0.0815
Cl6 0.2117 0.5797 0.4185
Cl7 0.2883 0.4203 0.9185
Cl8 0.7883 0.0797 0.5815
Cl9 0.0859 0.2500 0.1045
Cl10 0.5859 0.2500 0.3955
Cl11 0.9141 0.7500 0.8955
Cl12 0.4141 0.7500 0.6045

Entry 6:
Density functional theory data (PBE-GGA) for a relaxed Nd2CuIr crystal.

Calculated values
Energy of formation from the pure elements   -0.42 eV per atom
Density   10.0 g/cm³
Symmetry   C2/m
Density of states at the Fermi level   2.7 states/eV/cell
Energy   -0.2219 Ha/atom

abc: 5.0530 5.0530 5.0274
angles: 59.98 59.98 90.07
Fractional coordinates of all 4 atoms:
Ir1 0.7500 0.2500 0.5000
Nd1 0.0000 0.0000 0.0000
Nd2 0.5000 0.5000 0.0000
Cu1 0.2500 0.7500 0.5000

Question: Which of these has the lowest energy?
Answer: La4AsIrSe2

Question: Which formula does entry 2 have?
Answer: Pr4InSn

Question: Among the records above, which one has the lowest density of states at the Fermi level?
Answer: AlP2H18C6Cl3